A plane-wave DFT calculation with PBE was carried out for KSc2Tc after structural relaxation.

Calculated values
The value obtained for the final energy is -5.187 eV per atom. For the total moment, the calculation gives 0.0 μB per formula unit. The density of states at the Fermi level is 8.5 states/eV/cell.

CIF file:
```
data_KSc2Tc
_cell_length_a 6.724
_cell_length_b 9.397
_cell_length_c 3.016
_cell_angle_alpha 90.00
_cell_angle_beta 112.70
_cell_angle_gamma 90.00
_space_group_name_H-M_alt 'C 1 2/m 1'
_space_group_IT_number 12
_space_group_name_Hall '-C 2y'
loop_
_atom_site_label
_atom_site_type_symbol
_atom_site_fract_x
_atom_site_fract_y
_atom_site_fract_z
K1 K 0.000 0.000 0.000
Sc1 Sc 0.250 0.250 0.500
Tc1 Tc 0.000 0.500 0.000
```

A plane-wave DFT calculation with PBE was carried out for KScTc2 after structural relaxation.

Calculated values
The value obtained for the final energy is -6.362 eV per atom. For the total moment, the calculation gives 0.0 μB per formula unit. The density of states at the Fermi level is 7.9 states/eV/cell.

CIF file:
```
data_KScTc2
_cell_length_a 9.842
_cell_length_b 3.345
_cell_length_c 7.074
_cell_angle_alpha 90.00
_cell_angle_beta 96.33
_cell_angle_gamma 90.00
_space_group_name_H-M_alt 'C 1 2/m 1'
_space_group_IT_number 12
_space_group_name_Hall '-C 2y'
loop_
_atom_site_label
_atom_site_type_symbol
_atom_site_fract_x
_atom_site_fract_y
_atom_site_fract_z
K1 K 0.000 0.000 0.000
Sc1 Sc 0.000 0.500 0.500
Tc1 Tc 0.245 0.000 0.612
```

A plane-wave DFT calculation with PBE was carried out for KScTc2 after structural relaxation.

Calculated values
The value obtained for the final energy is -6.598 eV per atom. For the total moment, the calculation gives 0.0 μB per formula unit. The density of states at the Fermi level is 3.3 states/eV/cell.

CIF file:
```
data_KScTc2
_cell_length_a 2.989
_cell_length_b 4.026
_cell_length_c 8.475
_cell_angle_alpha 90.00
_cell_angle_beta 98.64
_cell_angle_gamma 90.00
_space_group_name_H-M_alt 'P 1 m 1'
_space_group_IT_number 6
_space_group_name_Hall 'P -2y'
loop_
_atom_site_label
_atom_site_type_symbol
_atom_site_fract_x
_atom_site_fract_y
_atom_site_fract_z
K1 K 0.000 0.000 0.000
Sc1 Sc 0.599 0.500 0.402
Tc1 Tc 0.062 0.000 0.584
Tc2 Tc 0.470 0.500 0.684
```

A plane-wave DFT calculation with PBE was carried out for KScTc2 after structural relaxation.

Calculated values
The value obtained for the final energy is -6.380 eV per atom. For the total moment, the calculation gives 0.0 μB per formula unit. The density of states at the Fermi level is 8.4 states/eV/cell.

CIF file:
```
data_KScTc2
_cell_length_a 3.202
_cell_length_b 4.616
_cell_length_c 10.319
_cell_angle_alpha 90.00
_cell_angle_beta 90.00
_cell_angle_gamma 90.00
_space_group_name_H-M_alt 'C m m m'
_space_group_IT_number 65
_space_group_name_Hall '-C 2 2'
loop_
_atom_site_label
_atom_site_type_symbol
_atom_site_fract_x
_atom_site_fract_y
_atom_site_fract_z
K1 K 0.000 0.000 0.000
Sc1 Sc 0.000 0.000 0.500
Tc1 Tc 0.000 0.500 0.284
```

A plane-wave DFT calculation with PBE was carried out for K2ScTc after structural relaxation.

Calculated values
The value obtained for the final energy is -3.510 eV per atom. For the total moment, the calculation gives 0.0 μB per formula unit. The density of states at the Fermi level is 4.3 states/eV/cell.

CIF file:
```
data_K2ScTc
_cell_length_a 2.907
_cell_length_b 2.907
_cell_length_c 12.646
_cell_angle_alpha 90.00
_cell_angle_beta 90.00
_cell_angle_gamma 90.00
_space_group_name_H-M_alt 'P 4/m m m'
_space_group_IT_number 123
_space_group_name_Hall '-P 4 2'
loop_
_atom_site_label
_atom_site_type_symbol
_atom_site_fract_x
_atom_site_fract_y
_atom_site_fract_z
K1 K 0.000 0.000 0.218
Sc1 Sc 0.500 0.500 0.500
Tc1 Tc 0.500 0.500 0.000
```

A plane-wave DFT calculation with PBE was carried out for K2ScTc after structural relaxation.

Calculated values
The value obtained for the final energy is -3.657 eV per atom. For the total moment, the calculation gives 0.0 μB per formula unit. The density of states at the Fermi level is 4.9 states/eV/cell.

CIF file:
```
data_K2ScTc
_cell_length_a 3.342
_cell_length_b 4.850
_cell_length_c 6.412
_cell_angle_alpha 90.00
_cell_angle_beta 90.00
_cell_angle_gamma 90.00
_space_group_name_H-M_alt 'P m m m'
_space_group_IT_number 47
_space_group_name_Hall '-P 2 2'
loop_
_atom_site_label
_atom_site_type_symbol
_atom_site_fract_x
_atom_site_fract_y
_atom_site_fract_z
K1 K 0.000 0.000 0.000
K2 K 0.500 0.500 0.000
Sc1 Sc 0.000 0.500 0.500
Tc1 Tc 0.500 0.000 0.500
```

A plane-wave DFT calculation with PBE was carried out for KScTc2 after structural relaxation.

Calculated values
The value obtained for the final energy is -6.521 eV per atom. For the total moment, the calculation gives 0.0 μB per formula unit. The density of states at the Fermi level is 7.9 states/eV/cell.

CIF file:
```
data_KScTc2
_cell_length_a 7.966
_cell_length_b 3.133
_cell_length_c 8.438
_cell_angle_alpha 90.00
_cell_angle_beta 93.71
_cell_angle_gamma 90.00
_space_group_name_H-M_alt 'C 1 m 1'
_space_group_IT_number 8
_space_group_name_Hall 'C -2y'
loop_
_atom_site_label
_atom_site_type_symbol
_atom_site_fract_x
_atom_site_fract_y
_atom_site_fract_z
K1 K 0.000 0.000 0.000
Sc1 Sc 0.217 0.000 0.591
Tc1 Tc 0.258 0.500 0.309
Tc2 Tc 0.483 0.000 0.410
```

A plane-wave DFT calculation with PBE was carried out for K2ScTc after structural relaxation.

Calculated values
The value obtained for the final energy is -4.172 eV per atom. For the total moment, the calculation gives 0.0 μB per formula unit. The density of states at the Fermi level is 3.2 states/eV/cell.

CIF file:
```
data_K2ScTc
_cell_length_a 3.532
_cell_length_b 3.536
_cell_length_c 10.691
_cell_angle_alpha 90.00
_cell_angle_beta 90.83
_cell_angle_gamma 90.00
_space_group_name_H-M_alt 'P 1 m 1'
_space_group_IT_number 6
_space_group_name_Hall 'P -2y'
loop_
_atom_site_label
_atom_site_type_symbol
_atom_site_fract_x
_atom_site_fract_y
_atom_site_fract_z
K1 K 0.000 0.000 0.000
K2 K 0.476 0.500 0.389
Sc1 Sc 0.489 0.500 0.718
Tc1 Tc 0.985 0.000 0.628
```

A plane-wave DFT calculation with PBE was carried out for KSc2Tc after structural relaxation.

Calculated values
The value obtained for the final energy is -5.481 eV per atom. For the total moment, the calculation gives 0.0 μB per formula unit. The density of states at the Fermi level is 8.9 states/eV/cell.

CIF file:
```
data_KSc2Tc
_cell_length_a 3.396
_cell_length_b 5.151
_cell_length_c 11.072
_cell_angle_alpha 90.00
_cell_angle_beta 90.00
_cell_angle_gamma 90.00
_space_group_name_H-M_alt 'C m m 2'
_space_group_IT_number 35
_space_group_name_Hall 'C 2 -2'
loop_
_atom_site_label
_atom_site_type_symbol
_atom_site_fract_x
_atom_site_fract_y
_atom_site_fract_z
K1 K 0.000 0.000 0.000
Sc1 Sc 0.000 0.000 0.428
Sc2 Sc 0.000 0.500 0.680
Tc1 Tc 0.000 0.500 0.257
```

A plane-wave DFT calculation with PBE was carried out for K2ScTc after structural relaxation.

Calculated values
The value obtained for the final energy is -3.587 eV per atom. For the total moment, the calculation gives 0.0 μB per formula unit. The density of states at the Fermi level is 9.9 states/eV/cell.

CIF file:
```
data_K2ScTc
_cell_length_a 4.076
_cell_length_b 4.076
_cell_length_c 25.541
_cell_angle_alpha 90.00
_cell_angle_beta 90.00
_cell_angle_gamma 90.00
_space_group_name_H-M_alt 'I -4 2 d'
_space_group_IT_number 122
_space_group_name_Hall 'I -4 2bw'
loop_
_atom_site_label
_atom_site_type_symbol
_atom_site_fract_x
_atom_site_fract_y
_atom_site_fract_z
K1 K 0.246 0.250 0.125
Sc1 Sc 0.000 0.000 0.500
Tc1 Tc 0.000 0.000 0.000
```

A plane-wave DFT calculation with PBE was carried out for KSc2Tc after structural relaxation.

Calculated values
The value obtained for the final energy is -5.428 eV per atom. For the total moment, the calculation gives 0.0 μB per formula unit. The density of states at the Fermi level is 10.4 states/eV/cell.

CIF file:
```
data_KSc2Tc
_cell_length_a 4.143
_cell_length_b 5.780
_cell_length_c 7.970
_cell_angle_alpha 90.00
_cell_angle_beta 90.00
_cell_angle_gamma 90.00
_space_group_name_H-M_alt 'I m m m'
_space_group_IT_number 71
_space_group_name_Hall '-I 2 2'
loop_
_atom_site_label
_atom_site_type_symbol
_atom_site_fract_x
_atom_site_fract_y
_atom_site_fract_z
K1 K 0.000 0.000 0.000
Sc1 Sc 0.000 0.500 0.200
Tc1 Tc 0.000 0.000 0.500
```

A plane-wave DFT calculation with PBE was carried out for KSc2Tc after structural relaxation.

Calculated values
The value obtained for the final energy is -5.770 eV per atom. For the total moment, the calculation gives 0.1 μB per formula unit. The density of states at the Fermi level is 13.2 states/eV/cell.

CIF file:
```
data_KSc2Tc
_cell_length_a 3.3722
_cell_length_b 3.3722
_cell_length_c 32.2758
_cell_angle_alpha 90.00
_cell_angle_beta 90.00
_cell_angle_gamma 120.00
_space_group_name_H-M_alt 'R -3 m'
_space_group_IT_number 166
_space_group_name_Hall '-R 3 2"'
loop_
_atom_site_label
_atom_site_type_symbol
_atom_site_fract_x
_atom_site_fract_y
_atom_site_fract_z
K1 K 0.0000 0.0000 0.0000
Sc1 Sc 0.0000 0.0000 0.2239
Tc1 Tc 0.0000 0.0000 0.5000
```